8
Lattice="3.215 0.000 0.000 0.000 4.570 0.000 0.000 0.000 9.139" Properties=species:S:1:pos:R:3 comment="Ta4RuW3, optimized geometry, DFT PBE" dft_energy_ev_per_atom=-12.16 pbc="T T T"
Ta 0.000 0.000 0.000
Ta 0.000 0.000 4.569
Ta 0.000 2.285 2.265
Ta 0.000 2.285 6.874
Ru 1.608 2.285 0.000
W 1.608 0.000 2.262
W 1.608 0.000 6.877
W 1.608 2.285 4.569